! PBE-GGA Cd3InAg, relaxed; values from VASP
&SYSTEM
  ibrav = 0, nat = 10, ntyp = 3
/
ATOMIC_SPECIES
Cd 112.41 Cd.upf
In 114.82 In.upf
Ag 107.87 Ag.upf
CELL_PARAMETERS angstrom
-5.1117 -1.8482 -1.1186
0.5954 -4.8639 5.3171
-2.6812 6.5705 1.3937
ATOMIC_POSITIONS angstrom
Cd -4.7678 0.2352 0.7488
Cd -1.5696 -1.0806 2.0767
Cd -5.6279 0.9390 3.5156
Cd -1.3239 -3.0857 4.2687
Cd -2.4297 -0.3767 4.8434
Cd -5.8736 2.9442 1.3236
In -4.3302 -2.4381 3.1712
In -2.8674 2.2968 2.4211
Ag -2.5559 -0.9241 -0.5593
Ag 0.0000 0.0000 0.0000
! **DFT total energy**: -1.574 eV per atom
! **V**: 25.133 A^3/atom
! **ΔH_f (0 K)**: 0.093 eV/atom
! **Total magnetic moment**: 0.0000 μB per atom
! **Energy relative to the lowest polymorph listed for this composition**: 0 meV per atom